Entry from Alexandria via LeMat-Bulk: crystalline Co2GeOs at its relaxed geometry (PBE-GGA).

```
Co2GeOs
1.0
-1.196 0.735 -3.323
0.087 -3.514 -0.809
-8.641 -2.217 0.661
Co Ge Os
4 2 2
Direct
0.607 0.125 0.250 Co
0.143 0.625 0.250 Co
0.375 0.393 0.750 Co
0.875 0.857 0.750 Co
0.500 0.500 0.000 Ge
0.250 0.750 0.500 Ge
0.000 0.000 0.000 Os
0.750 0.250 0.500 Os
```

Values from the calculation:
Magnetic moment (μB/f.u.): 3.53
Fermi-level density of states (states/eV/f.u.): 6.3
Formation energy (meV/atom): 566
SG: I-42d (122)
Volume (A^3/atom): 13.9

---

Entry from Alexandria via LeMat-Bulk: crystalline CoGe2Os at its relaxed geometry (PBE-GGA).

```
CoGe2Os
1.0
-2.186 -3.177 -3.819
3.810 -3.749 0.938
-2.344 -5.745 2.264
Co Ge Os
2 4 2
Direct
0.500 0.500 0.000 Co
0.250 0.750 0.500 Co
0.610 0.125 0.250 Ge
0.140 0.625 0.250 Ge
0.375 0.390 0.750 Ge
0.875 0.860 0.750 Ge
0.000 0.000 0.000 Os
0.750 0.250 0.500 Os
```

Values from the calculation:
Magnetic moment (μB/f.u.): 0.00
Fermi-level density of states (states/eV/f.u.): 4.3
ΔE to the lowest computed polymorph (eV per atom): 0.732
Formation energy (meV/atom): 717
SG: I-42d (122)
Volume (A^3/atom): 19.8

---

Entry from Alexandria via LeMat-Bulk: crystalline CoGe6Os at its relaxed geometry (PBE-GGA).

```
CoGe6Os
1.0
-0.108 -3.974 1.165
3.156 -3.478 -4.253
5.728 -1.678 2.141
Co Ge Os
1 6 1
Direct
0.500 0.500 0.500 Co
0.906 0.438 0.748 Ge
0.583 0.094 0.739 Ge
0.746 0.258 0.257 Ge
0.417 0.906 0.261 Ge
0.094 0.562 0.252 Ge
0.254 0.742 0.743 Ge
0.000 0.000 0.000 Os
```

Values from the calculation:
Magnetic moment (μB/f.u.): 0.00
Fermi-level density of states (states/eV/f.u.): 4.1
Formation energy (meV/atom): 86
SG: P-1 (2)
Volume (A^3/atom): 17.8

---

Which formula does entry 1 have?
Co2GeOs